Record 1
This record from the Alexandria database describes a PBEsol-optimized structure of K2POs. The functional is SCAN.

```
4
Lattice="-2.1840 -3.5488 -2.4311 -0.7227 -4.2787 2.1083 -4.4639 -1.3659 1.2174" Properties=species:S:1:pos:R:3 pbc="T T T"
Os -3.6853 -4.5967 0.4473
K -1.8426 -2.2984 0.2237
K 0.0000 0.0000 0.0000
P -5.5279 -6.8951 0.6710
```

Results
energy above the most stable polymorph in this dataset	0.909	eV/atom
DFT total energy	-23.699	eV per atom
ρ	6.26	g cm⁻³
E_form	4.1	eV per formula unit

---

Record 2
This record from the Alexandria database describes a PBEsol-optimized structure of KTcP2Os. The functional is SCAN.

```
5
Lattice="-0.4730 0.3024 4.4661 -0.7523 -4.4325 0.2205 5.5966 -0.9173 0.6549" Properties=species:S:1:pos:R:3 pbc="T T T"
P -0.3762 -2.2162 0.1102
P -0.2365 0.1512 2.2331
K 2.7983 -0.4587 0.3274
Os 0.0000 0.0000 0.0000
Tc 2.1856 -2.5237 2.6707
```

Results
DFT total energy	-25.907	eV per atom
ρ	5.59	g cm⁻³
E_form	6.5	eV per formula unit

---

Record 3
This record from the Alexandria database describes a PBEsol-optimized structure of KOs2Pb. The functional is SCAN.

```
4
Lattice="2.9621 0.0000 0.0000 0.0000 4.8751 0.0000 0.0000 0.0000 5.2504" Properties=species:S:1:pos:R:3 pbc="T T T"
K 0.0000 2.4376 2.6252
Pb 1.4810 0.0000 2.6252
Os 0.0000 0.0000 0.0000
Os 1.4810 2.4376 0.0000
```

Results
DFT total energy	-55.329	eV per atom
ρ	13.73	g cm⁻³
E_form	6.6	eV per formula unit

---

Record 4
This record from the Alexandria database describes a PBEsol-optimized structure of K2OsPb. The functional is SCAN.

```
4
Lattice="3.0807 0.0000 0.0000 1.5404 2.6680 0.0000 1.5404 0.8893 11.8303" Properties=species:S:1:pos:R:3 pbc="T T T"
Pb 0.0000 0.0000 0.0000
Os 3.0807 1.7787 5.9152
K 4.6211 2.6680 8.5795
K 1.5404 0.8893 3.2508
```

Results
DFT total energy	-40.073	eV per atom
ρ	8.12	g cm⁻³
E_form	4.0	eV per formula unit

---

Record 5
This record from the Alexandria database describes a PBEsol-optimized structure of KOsPb. The functional is SCAN.

```
3
Lattice="3.2125 0.0000 0.0000 -1.6062 2.7821 0.0000 0.0000 0.0000 7.8005" Properties=species:S:1:pos:R:3 pbc="T T T"
Pb 1.6062 0.9274 2.9623
Os 0.0000 1.8547 5.0012
K 0.0000 0.0000 7.6375
```

Results
DFT total energy	-50.957	eV per atom
ρ	10.40	g cm⁻³
E_form	3.1	eV per formula unit

---

Record 6
This record from the Alexandria database describes a PBEsol-optimized structure of K2Os2Pd. The functional is SCAN.

```
5
Lattice="-0.0988 2.1824 -2.9428 -1.1004 -2.8256 -2.0586 -6.7463 2.0621 4.0382" Properties=species:S:1:pos:R:3 pbc="T T T"
K -4.2231 -0.5426 -0.2605
K -3.7224 1.9615 -0.7026
Os -6.2798 1.4879 1.3144
Os -1.6657 -0.0690 -2.2775
Pd 0.0000 0.0000 0.0000
```

Results
DFT total energy	-36.652	eV per atom
ρ	9.07	g cm⁻³
E_form	9.9	eV per formula unit

---

Record 7
This record from the Alexandria database describes a PBEsol-optimized structure of KTa2OsPd. The functional is SCAN.

```
5
Lattice="4.4315 0.0000 0.0000 0.0000 4.5129 0.0000 0.0000 0.0000 4.5129" Properties=species:S:1:pos:R:3 pbc="T T T"
Ta 0.0000 2.2565 0.0000
Ta 0.0000 0.0000 2.2565
Pd 2.2157 0.0000 0.0000
K 0.0000 0.0000 0.0000
Os 2.2157 2.2565 2.2565
```

Results
DFT total energy	-46.177	eV per atom
ρ	12.84	g cm⁻³
E_form	15.3	eV per formula unit

---

Record 8
This record from the Alexandria database describes a PBEsol-optimized structure of KOs2Pt. The functional is SCAN.

```
4
Lattice="-2.1262 0.7800 1.3903 -2.7915 -3.7229 -2.1805 3.7807 -1.7683 4.2343" Properties=species:S:1:pos:R:3 pbc="T T T"
Pt 1.2353 -3.0276 3.5877
Os 0.1040 -0.2548 0.3020
Os -0.4198 -1.1867 2.5635
K -0.7346 -3.4820 0.8300
```

Results
energy above the most stable polymorph in this dataset	0.088	eV/atom
DFT total energy	-54.533	eV per atom
ρ	14.39	g cm⁻³
E_form	4.1	eV per formula unit

---

Record 9
This record from the Alexandria database describes a PBEsol-optimized structure of K2OsPt. The functional is SCAN.

```
4
Lattice="-1.3852 0.5222 -4.7001 -3.2807 -3.1098 -1.9618 -4.5478 1.5678 -1.0687" Properties=species:S:1:pos:R:3 pbc="T T T"
Pt -2.3034 -0.2550 -1.9327
K 0.0000 0.0000 0.0000
K -6.9103 -0.7649 -5.7980
Os -4.6069 -0.5099 -3.8653
```

Results
energy above the most stable polymorph in this dataset	0.322	eV/atom
DFT total energy	-38.500	eV per atom
ρ	9.10	g cm⁻³
E_form	4.7	eV per formula unit

---

Record 10
This record from the Alexandria database describes a PBEsol-optimized structure of KOs2Pt. The functional is SCAN.

```
4
Lattice="2.6100 0.0000 0.0000 0.0000 4.2240 0.0000 0.0000 0.0000 7.2859" Properties=species:S:1:pos:R:3 pbc="T T T"
Pt 1.3050 2.1120 0.0000
Os 0.0000 0.0000 6.1025
Os 0.0000 0.0000 1.1834
K 1.3050 2.1120 3.6429
```

Results
energy above the most stable polymorph in this dataset	0.000	eV/atom
DFT total energy	-54.621	eV per atom
ρ	12.71	g cm⁻³
E_form	3.8	eV per formula unit

---

Record 11
This record from the Alexandria database describes a PBEsol-optimized structure of K2OsPt. The functional is SCAN.

```
4
Lattice="-3.6480 2.6856 2.4401 -4.9580 -0.7700 -1.1400 -3.0854 -2.3403 3.3879" Properties=species:S:1:pos:R:3 pbc="T T T"
K -2.9229 -0.1062 1.1720
K -8.7686 -0.3186 3.5160
Pt -5.8457 -0.2124 2.3440
Os 0.0000 0.0000 0.0000
```

Results
energy above the most stable polymorph in this dataset	0.786	eV/atom
DFT total energy	-38.037	eV per atom
ρ	7.99	g cm⁻³
E_form	6.6	eV per formula unit

---

Record 12
This record from the Alexandria database describes a PBEsol-optimized structure of K2OsPt. The functional is SCAN.

```
4
Lattice="-0.6211 -2.5291 0.5858 1.7071 -1.5760 -4.9942 4.0867 0.0219 4.4275" Properties=species:S:1:pos:R:3 pbc="T T T"
Pt 0.5430 -2.0525 -2.2042
K 2.8969 -0.7770 -0.2833
K 2.0433 0.0110 2.2138
Os -0.3105 -1.2645 0.2929
```

Results
energy above the most stable polymorph in this dataset	0.000	eV/atom
DFT total energy	-38.823	eV per atom
ρ	9.77	g cm⁻³
E_form	3.4	eV per formula unit

---

Record 13
This record from the Alexandria database describes a PBEsol-optimized structure of KRbOsPt2. The functional is SCAN.

```
5
Lattice="4.9959 0.0000 0.0000 0.0000 5.1478 0.0000 0.0000 0.0000 5.1478" Properties=species:S:1:pos:R:3 pbc="T T T"
Rb 0.0000 0.0000 0.0000
Os 2.4980 0.0000 0.0000
Pt 0.0000 2.5739 0.0000
Pt 0.0000 0.0000 2.5739
K 2.4980 2.5739 2.5739
```

Results
DFT total energy	-45.660	eV per atom
ρ	8.84	g cm⁻³
E_form	13.0	eV per formula unit

---

Record 14
This record from the Alexandria database describes a PBEsol-optimized structure of KRb3Os. The functional is SCAN.

```
5
Lattice="-3.5910 -1.8219 5.1533 5.2818 -2.7434 2.7106 1.4066 5.6502 2.9777" Properties=species:S:1:pos:R:3 pbc="T T T"
Os 0.0000 0.0000 0.0000
K 1.5487 0.5425 5.4208
Rb 2.6409 -1.3717 1.3553
Rb 0.7033 2.8251 1.4889
Rb -1.7955 -0.9109 2.5766
```

Results
energy above the most stable polymorph in this dataset	0.000	eV/atom
DFT total energy	-27.440	eV per atom
ρ	2.88	g cm⁻³
E_form	5.2	eV per formula unit

---

Record 15
This record from the Alexandria database describes a PBEsol-optimized structure of KRb3Os. The functional is SCAN.

```
5
Lattice="-4.4751 -3.4628 -4.4051 1.0889 -6.0676 3.6635 -5.4964 1.6173 4.3123" Properties=species:S:1:pos:R:3 pbc="T T T"
Rb -2.2375 -1.7314 -2.2026
Rb 0.5445 -3.0338 1.8317
Rb -2.7482 0.8087 2.1562
Os -4.4413 -3.9566 1.7854
K 0.0000 0.0000 0.0000
```

Results
energy above the most stable polymorph in this dataset	0.687	eV/atom
DFT total energy	-26.753	eV per atom
ρ	2.19	g cm⁻³
E_form	8.7	eV per formula unit

---

Record 16
This record from the Alexandria database describes a PBEsol-optimized structure of K3RbOs. The functional is SCAN.

```
5
Lattice="6.3202 0.0000 0.0000 0.0000 6.3202 0.0000 0.0000 0.0000 6.3202" Properties=species:S:1:pos:R:3 pbc="T T T"
Rb 3.1601 3.1601 3.1601
K 3.1601 0.0000 0.0000
K 0.0000 0.0000 3.1601
K 0.0000 3.1601 0.0000
Os 0.0000 0.0000 0.0000
```

Results
DFT total energy	-22.500	eV per atom
ρ	2.58	g cm⁻³
E_form	5.1	eV per formula unit

---

Record 17
This record from the Alexandria database describes a PBEsol-optimized structure of KRe2Os. The functional is SCAN.

```
4
Lattice="-0.9515 1.7077 -1.9469 -2.0040 0.8281 1.7059 5.6254 6.8679 3.2747" Properties=species:S:1:pos:R:3 pbc="T T T"
Re -0.3896 2.5965 0.5130
Re 5.5730 6.8039 3.2442
K 2.8597 3.4913 1.6647
Os 3.0649 6.8139 2.5239
```

Results
energy above the most stable polymorph in this dataset	0.000	eV/atom
DFT total energy	-54.760	eV per atom
ρ	13.87	g cm⁻³
E_form	3.4	eV per formula unit

---

Record 18
This record from the Alexandria database describes a PBEsol-optimized structure of K2ReOs. The functional is SCAN.

```
4
Lattice="5.1100 0.0000 0.0000 2.5550 4.4254 0.0000 2.5550 1.4751 4.1723" Properties=species:S:1:pos:R:3 pbc="T T T"
Os 0.0000 0.0000 0.0000
K 7.6650 4.4254 3.1292
K 2.5550 1.4751 1.0431
Re 5.1100 2.9503 2.0862
```

Results
energy above the most stable polymorph in this dataset	2.032	eV/atom
DFT total energy	-37.068	eV per atom
ρ	8.00	g cm⁻³
E_form	11.4	eV per formula unit

---

Record 19
This record from the Alexandria database describes a PBEsol-optimized structure of K2ReOs. The functional is SCAN.

```
4
Lattice="-1.8033 -0.2467 2.3025 -0.1153 -3.6324 -2.3501 7.5065 -3.4125 5.5134" Properties=species:S:1:pos:R:3 pbc="T T T"
Os 2.1194 -5.0935 1.1141
Re 1.0909 -3.2432 2.3775
K 0.6707 -0.3761 0.4850
K 4.4434 -4.0409 3.0471
```

Results
energy above the most stable polymorph in this dataset	0.000	eV/atom
DFT total energy	-39.100	eV per atom
ρ	6.37	g cm⁻³
E_form	3.2	eV per formula unit

---

Record 20
This record from the Alexandria database describes a PBEsol-optimized structure of K2ReOs. The functional is SCAN.

```
4
Lattice="-2.4250 1.7833 -0.7762 -1.3081 -0.0119 4.0597 3.1449 4.7237 1.0272" Properties=species:S:1:pos:R:3 pbc="T T T"
Os 0.3599 3.2535 0.1255
K -1.8666 0.8857 1.6417
K 0.0000 0.0000 0.0000
Re 0.9184 2.3559 2.5434
```

Results
energy above the most stable polymorph in this dataset	0.466	eV/atom
DFT total energy	-38.634	eV per atom
ρ	9.87	g cm⁻³
E_form	5.1	eV per formula unit

---

Record 21
This record from the Alexandria database describes a PBEsol-optimized structure of KReOs. The functional is SCAN.

```
3
Lattice="2.7011 0.0000 0.0000 0.0000 3.9310 0.0000 -1.3505 -1.9655 6.2003" Properties=species:S:1:pos:R:3 pbc="T T T"
Os 1.3505 1.9655 2.6551
K 0.0000 0.0000 0.0173
Re 0.0000 0.0000 3.5279
```

Results
DFT total energy	-49.622	eV per atom
ρ	10.48	g cm⁻³
E_form	2.4	eV per formula unit

---

Record 22
This record from the Alexandria database describes a PBEsol-optimized structure of KRe2Os. The functional is SCAN.

```
4
Lattice="2.7054 0.0000 0.0000 0.0000 2.7054 0.0000 0.0000 0.0000 9.7692" Properties=species:S:1:pos:R:3 pbc="T T T"
K 1.3527 1.3527 0.0000
Re 0.0000 0.0000 6.7815
Re 0.0000 0.0000 2.9878
Os 1.3527 1.3527 4.8846
```

Results
energy above the most stable polymorph in this dataset	0.056	eV/atom
DFT total energy	-54.704	eV per atom
ρ	13.97	g cm⁻³
E_form	3.6	eV per formula unit

---

Record 23
This record from the Alexandria database describes a PBEsol-optimized structure of KReOs2. The functional is SCAN.

```
4
Lattice="2.7135 0.0000 0.0000 0.0000 2.7135 0.0000 0.0000 0.0000 9.6303" Properties=species:S:1:pos:R:3 pbc="T T T"
Os 0.0000 0.0000 0.5335
Os 1.3567 1.3567 2.3177
K 1.3567 1.3567 7.3085
Re 0.0000 0.0000 4.2857
```

Results
DFT total energy	-54.900	eV per atom
ρ	14.19	g cm⁻³
E_form	3.6	eV per formula unit

---

Record 24
This record from the Alexandria database describes a PBEsol-optimized structure of KReOs3. The functional is SCAN.

```
5
Lattice="4.7518 0.0000 0.0000 0.0000 4.7518 0.0000 0.0000 0.0000 4.7518" Properties=species:S:1:pos:R:3 pbc="T T T"
Os 2.3759 0.0000 0.0000
Os 0.0000 2.3759 0.0000
Os 0.0000 0.0000 2.3759
K 2.3759 2.3759 2.3759
Re 0.0000 0.0000 0.0000
```

Results
DFT total energy	-57.006	eV per atom
ρ	12.32	g cm⁻³
E_form	10.0	eV per formula unit

---

Record 25
This record from the Alexandria database describes a PBEsol-optimized structure of K2ReOs. The functional is SCAN.

```
4
Lattice="2.7142 0.0221 0.0000 -0.1726 4.7823 0.0000 -1.2708 -2.4022 5.8441" Properties=species:S:1:pos:R:3 pbc="T T T"
Re -0.0863 2.3912 0.0000
Os 1.3571 0.0110 0.0000
K 0.6354 1.2011 2.9220
K -0.6354 -1.2011 2.9220
```

Results
energy above the most stable polymorph in this dataset	0.478	eV/atom
DFT total energy	-38.623	eV per atom
ρ	9.95	g cm⁻³
E_form	5.1	eV per formula unit

---

Record 26
This record from the Alexandria database describes a PBEsol-optimized structure of KRe2SiOs. The functional is SCAN.

```
5
Lattice="-1.6930 2.9465 2.8586 1.4403 -2.4693 3.3982 4.1134 2.3783 -0.0153" Properties=species:S:1:pos:R:3 pbc="T T T"
Si 0.0000 0.0000 0.0000
Re -0.8465 1.4732 1.4293
Re 0.7202 -1.2347 1.6991
K 2.0567 1.1891 -0.0076
Os 1.9304 1.4277 3.1208
```

Results
DFT total energy	-44.161	eV per atom
ρ	11.16	g cm⁻³
uncorrected formation energy	2.3226	eV per atom

---

Record 27
This record from the Alexandria database describes a PBEsol-optimized structure of KOs2Ru. The functional is SCAN.

```
4
Lattice="-0.3172 1.6679 2.0634 -3.6433 -0.9519 0.2093 1.7780 -5.7325 4.8795" Properties=species:S:1:pos:R:3 pbc="T T T"
Os -0.6392 -3.9652 4.8185
Os 1.6158 -5.2085 4.4395
K -1.5346 -1.0798 2.3546
Ru 0.7253 -1.6937 4.9222
```

Results
energy above the most stable polymorph in this dataset	0.000	eV/atom
DFT total energy	-45.881	eV per atom
ρ	11.09	g cm⁻³
E_form	3.4	eV per formula unit

---

Record 28
This record from the Alexandria database describes a PBEsol-optimized structure of KOs2Ru. The functional is SCAN.

```
4
Lattice="4.4453 0.0000 0.0000 0.0000 4.4453 0.0000 -2.2227 -2.2227 3.1443" Properties=species:S:1:pos:R:3 pbc="T T T"
K 0.0000 0.0000 0.0000
Ru 2.2227 2.2227 0.0000
Os 0.0000 2.2227 1.5722
Os 2.2227 0.0000 1.5722
```

Results
energy above the most stable polymorph in this dataset	0.946	eV/atom
DFT total energy	-44.935	eV per atom
ρ	13.91	g cm⁻³
E_form	7.2	eV per formula unit

---

Record 29
This record from the Alexandria database describes a PBEsol-optimized structure of KOs2Ru. The functional is SCAN.

```
4
Lattice="2.6857 -0.0052 0.0000 -1.2404 2.3821 0.0000 0.0000 0.0000 10.1897" Properties=species:S:1:pos:R:3 pbc="T T T"
Ru 0.0000 0.0000 5.4177
Os 0.0000 0.0000 9.8691
Os 0.7226 1.1885 7.6205
K 0.7226 1.1885 2.5671
```

Results
energy above the most stable polymorph in this dataset	0.177	eV/atom
DFT total energy	-45.704	eV per atom
ρ	13.27	g cm⁻³
E_form	4.1	eV per formula unit

---

Record 30
This record from the Alexandria database describes a PBEsol-optimized structure of KOsRu. The functional is SCAN.

```
3
Lattice="-1.1927 2.2155 -0.9144 -3.2233 -0.9321 1.9458 4.2339 2.4441 4.3185" Properties=species:S:1:pos:R:3 pbc="T T T"
Ru 1.1546 1.7587 2.7552
Os -1.3389 1.9655 2.5896
K 0.0021 0.0033 0.0051
```

Results
DFT total energy	-37.644	eV per atom
ρ	8.69	g cm⁻³
E_form	2.1	eV per formula unit